Below is crystalline Sm4AsS2N at its relaxed geometry, with properties calculated at the GGA-PBE level.

abc: 6.9497 6.9497 14.1441
angles: 90.00 90.00 146.62
With the nearest neighbours (Å) after each atom.
Fractional positions:
Sm 0.0000 0.0000 0.0000  4 S 2.81
Sm 0.0000 0.0000 0.5000  4 S 2.81
Sm 0.2708 0.7292 0.6295  1 N 2.24
Sm 0.2708 0.7292 0.8705  1 N 2.24
Sm 0.4308 0.5692 0.2500  2 N 2.34
Sm 0.5692 0.4308 0.7500  2 N 2.34
Sm 0.7292 0.2708 0.1295  1 N 2.24
Sm 0.7292 0.2708 0.3705  1 N 2.24
As 0.1070 0.8930 0.2500  6 Sm 3.08-3.09
As 0.8930 0.1070 0.7500  6 Sm 3.08-3.09
S 0.3638 0.6362 0.0569  6 Sm 2.81-2.91
S 0.3638 0.6362 0.4431  6 Sm 2.81-2.91
S 0.6362 0.3638 0.5569  6 Sm 2.81-2.91
S 0.6362 0.3638 0.9431  6 Sm 2.81-2.91
N 0.1614 0.8386 0.7500  4 Sm 2.24-2.34
N 0.8386 0.1614 0.2500  4 Sm 2.24-2.34

Properties
- Total energy: -6.649 eV per atom
- Space-group type: Cmcm (63)
- Volume: 375.81 Å³ per cell